# 1
Density functional theory data (PBE) for MnAlSi3 after structural relaxation.

```
5
Lattice="4.434 0.000 0.000 0.000 4.434 0.000 0.000 0.000 4.434" Properties=species:S:1:pos:R:3 pbc="T T T"
Mn 0.000 0.000 0.000
Al 2.217 2.217 2.217
Si 0.000 0.000 2.217
Si 0.000 2.217 0.000
Si 2.217 0.000 0.000
```

Properties
- mass density (g cm⁻³) = 3.166
- uncorrected formation energy (eV/atom) = 0.382
- DOS(E_F) (states/eV per cell) = 2.8

# 2
Density functional theory data (PBE) for KPr2NpO8 after structural relaxation.

```
12
Lattice="4.123 0.000 0.000 0.000 8.363 0.000 -0.630 0.000 5.416" Properties=species:S:1:pos:R:3 pbc="T T T"
K 0.000 0.000 0.000
Pr 1.746 2.314 2.708
Pr 1.746 6.049 2.708
Np 0.000 4.182 0.000
O -0.310 2.590 4.146
O -0.310 5.773 4.146
O 1.690 4.182 1.207
O 1.455 0.000 3.411
O 2.038 0.000 2.004
O 1.803 4.182 4.209
O 3.803 2.590 1.269
O 3.803 5.773 1.269
```

Properties
- mass density (g cm⁻³) = 6.099
- uncorrected formation energy (eV/atom) = -2.571
- DOS(E_F) (states/eV per cell) = 0.2

# 3
Density functional theory data (PBE) for Pm5Sn2Rh after structural relaxation.

```
16
Lattice="8.098 0.000 0.000 0.000 12.445 0.000 0.000 0.000 4.688" Properties=species:S:1:pos:R:3 pbc="T T T"
Pm 0.000 0.000 0.000
Pm 1.105 3.684 0.000
Pm 1.526 7.064 2.344
Pm 2.523 0.842 2.344
Pm 2.944 9.907 0.000
Pm 4.049 6.222 0.000
Pm 5.155 2.538 0.000
Pm 5.575 11.603 2.344
Pm 6.572 5.380 2.344
Pm 6.993 8.760 0.000
Sn 0.638 10.316 2.344
Sn 3.411 4.094 2.344
Sn 4.688 8.351 2.344
Sn 7.460 2.128 2.344
Rh 0.000 6.222 0.000
Rh 4.049 0.000 0.000
```

Properties
- mass density (g cm⁻³) = 7.488
- DOS(E_F) (states/eV per cell) = 18.5
- formation enthalpy at 0 K (kcal/mol of atoms) = -15.48
- offset from the most stable computed form (meV per atom) = 0

# 4
Density functional theory data (PBE) for BPt2O after structural relaxation.

```
4
Lattice="0.000 2.812 2.812 2.812 0.000 2.812 2.812 2.812 0.000" Properties=species:S:1:pos:R:3 pbc="T T T"
B 0.000 0.000 0.000
Pt 1.406 1.406 1.406
Pt 4.218 4.218 4.218
O 2.812 2.812 2.812
```

Properties
- mass density (g cm⁻³) = 15.565
- uncorrected formation energy (eV/atom) = 0.465
- DOS(E_F) (states/eV per cell) = 5.4

Question: Number 2 is which compound?
Answer: KPr2NpO8

Repeat the first record exactly.
Density functional theory data (PBE) for MnAlSi3 after structural relaxation.

```
5
Lattice="4.434 0.000 0.000 0.000 4.434 0.000 0.000 0.000 4.434" Properties=species:S:1:pos:R:3 pbc="T T T"
Mn 0.000 0.000 0.000
Al 2.217 2.217 2.217
Si 0.000 0.000 2.217
Si 0.000 2.217 0.000
Si 2.217 0.000 0.000
```

Properties
- mass density (g cm⁻³) = 3.166
- uncorrected formation energy (eV/atom) = 0.382
- DOS(E_F) (states/eV per cell) = 2.8

What did the fourth record say?
Density functional theory data (PBE) for BPt2O after structural relaxation.

```
4
Lattice="0.000 2.812 2.812 2.812 0.000 2.812 2.812 2.812 0.000" Properties=species:S:1:pos:R:3 pbc="T T T"
B 0.000 0.000 0.000
Pt 1.406 1.406 1.406
Pt 4.218 4.218 4.218
O 2.812 2.812 2.812
```

Properties
- mass density (g cm⁻³) = 15.565
- uncorrected formation energy (eV/atom) = 0.465
- DOS(E_F) (states/eV per cell) = 5.4

Question: DOS(E_F) of number 2 (KPr2NpO8)?
Answer: 0.2 states/eV per cell